3
Lattice="0.0000 3.5027 3.5027 3.5027 0.0000 3.5027 3.5027 3.5027 0.0000" Properties=species:S:1:pos:R:3 comment="SrYIr, relaxed, DFT PBE-GGA" magnetic_moment_mub_per_fu=0.001 sg="F-43m, No. 216" de_polymorph_ev_per_atom=0.0000 pbc="T T T"
Sr 0.0000 0.0000 0.0000
Y 3.5027 3.5027 3.5027
Ir 1.7513 1.7513 1.7513

***

4
Lattice="0.0000 3.1968 3.1968 3.1968 0.0000 3.1968 3.1968 3.1968 0.0000" Properties=species:S:1:pos:R:3 comment="GePd2Au, relaxed, DFT PBE-GGA" sg="F-43m, No. 216" pbc="T T T"
Ge 0.0000 0.0000 0.0000
Pd 3.1968 3.1968 3.1968
Pd 4.7951 4.7951 4.7951
Au 1.5984 1.5984 1.5984

***

60
Lattice="13.4785 0.0000 0.0000 0.0000 6.8989 7.0379 0.0000 -6.8989 7.0379" Properties=species:S:1:pos:R:3 comment="Ho4GaSbS9, relaxed, DFT PBE-GGA" magnetic_moment_mub_per_fu=0.001 sg="Aea2, No. 41" pbc="T T T"
Ho 1.3447 -4.5335 7.0379
Ho 1.4006 1.5148 6.3744
Ho 2.5065 2.2857 10.1186
Ho 2.5466 5.3863 6.9242
Ho 4.1926 -1.5126 6.9242
Ho 4.2328 2.2857 3.0806
Ho 5.3387 -5.3841 6.3744
Ho 5.3945 2.3655 7.0379
Ho 8.0840 -2.3655 7.0379
Ho 8.1399 5.3841 6.3744
Ho 9.2458 -2.2857 3.0806
Ho 9.2859 1.5126 6.9242
Ho 10.9319 -5.3863 6.9242
Ho 10.9720 -2.2857 10.1186
Ho 12.0779 -1.5148 6.3744
Ho 12.1338 4.5335 7.0379
Ga 1.2183 -1.4604 10.2461
Ga 5.5210 -1.4604 3.2081
Ga 7.9576 1.4604 3.2081
Ga 12.2602 1.4604 10.2461
Sb 1.5323 -1.1325 3.7017
Sb 5.2069 -1.1325 10.7397
Sb 8.2716 1.1325 10.7397
Sb 11.9462 1.1325 3.7017
S 0.0000 0.0000 0.1013
S 0.0000 0.0000 8.9139
S 0.2003 -4.2008 4.5072
S 0.9351 3.5153 8.0943
S 1.1106 1.3111 3.6116
S 1.3395 -1.2478 6.1684
S 2.5615 -2.7633 8.8957
S 2.6576 -0.1695 11.5035
S 3.2965 3.2112 5.4442
S 3.3229 0.7989 1.0039
S 3.4163 0.7989 8.0419
S 3.4428 -3.6877 5.4442
S 4.0817 -0.1695 4.4656
S 4.1778 4.1356 8.8957
S 5.3997 5.6511 6.1684
S 5.6286 1.3111 10.6496
S 5.8042 -3.3836 8.0943
S 6.5389 2.6982 4.5072
S 6.7393 0.0000 1.8760
S 6.7393 0.0000 7.1393
S 6.9396 -2.6982 4.5072
S 7.6743 3.3836 8.0943
S 7.8499 -1.3111 10.6496
S 8.0788 -5.6511 6.1684
S 9.3007 -4.1356 8.8957
S 9.3969 0.1695 4.4656
S 10.0358 3.6877 5.4442
S 10.0622 -0.7989 8.0419
S 10.1556 -0.7989 1.0039
S 10.1820 -3.2112 5.4442
S 10.8209 0.1695 11.5035
S 10.9171 2.7633 8.8957
S 12.1390 1.2478 6.1684
S 12.3679 -1.3111 3.6116
S 12.5434 -3.5153 8.0943
S 13.2782 4.2008 4.5072

***

8
Lattice="4.0368 0.0000 0.0000 0.0000 4.0368 0.0000 0.0000 0.0000 6.9809" Properties=species:S:1:pos:R:3 comment="SbPdNO, relaxed, DFT PBE-GGA" sg="P4/nmm, No. 129" de_polymorph_ev_per_atom=0.2765 pbc="T T T"
Sb 1.0092 1.0092 1.1122
Sb 3.0276 3.0276 5.8687
Pd 1.0092 3.0276 3.4905
Pd 3.0276 1.0092 3.4905
N 1.0092 1.0092 4.1553
N 3.0276 3.0276 2.8256
O 1.0092 3.0276 0.0000
O 3.0276 1.0092 0.0000

***

28
Lattice="7.9063 -3.8965 0.0000 7.9063 3.8965 0.0000 -1.4646 0.0000 10.8816" Properties=species:S:1:pos:R:3 comment="Pr3Si2S8Br, relaxed, DFT PBE-GGA" magnetic_moment_mub_per_fu=0.001 sg="C2/c, No. 15" pbc="T T T"
Pr 6.8079 3.0351 8.1612
Pr 4.3394 0.9515 3.4374
Pr 3.6071 -0.9515 8.8782
Pr 10.7410 0.9515 2.0034
Pr 10.0087 -0.9515 7.4442
Pr 7.5402 -3.0351 2.7204
Si 2.4834 0.2689 0.3204
Si 1.7511 -0.2689 5.7612
Si 12.5970 0.2689 5.1204
Si 11.8647 -0.2689 10.5612
S 1.1179 0.7375 9.1313
S 6.1978 2.6806 4.9330
S 4.3502 1.9617 9.3048
S 3.6256 0.5610 6.3699
S 8.8825 2.6806 0.5078
S 1.8502 -0.7375 3.6905
S 4.3579 -0.5610 0.9291
S 9.2656 1.9617 7.0177
S 5.0825 -1.9617 3.8640
S 9.9902 0.5610 9.9525
S 12.4979 0.7375 7.1911
S 5.4656 -2.6806 10.3738
S 10.7225 -0.5610 4.5117
S 9.9979 -1.9617 1.5769
S 8.1503 -2.6806 5.9486
S 13.2302 -0.7375 1.7503
Br 7.5402 0.0407 2.7204
Br 6.8079 -0.0407 8.1612

***

5
Lattice="-2.1379 2.1379 5.9515 2.1379 -2.1379 5.9515 2.1379 2.1379 -5.9515" Properties=species:S:1:pos:R:3 comment="SrPd2Au2, relaxed, DFT PBE-GGA" sg="I4/mmm, No. 139" pbc="T T T"
Sr 0.0000 0.0000 0.0000
Pd 0.0000 0.0000 4.6765
Pd 0.0000 0.0000 7.2265
Au 2.1379 0.0000 2.9758
Au 0.0000 2.1379 2.9758

***

3
Lattice="0.0000 4.0070 4.0070 4.0070 0.0000 4.0070 4.0070 4.0070 0.0000" Properties=species:S:1:pos:R:3 comment="AcYLu, relaxed, DFT PBE-GGA" magnetic_moment_mub_per_fu=0.017 sg="F-43m, No. 216" delta_e_f_ev_per_atom=0.86 de_polymorph_ev_per_atom=0.1834 pbc="T T T"
Ac 0.0000 0.0000 0.0000
Y 2.0035 2.0035 2.0035
Lu 6.0105 6.0105 6.0105

***

4
Lattice="0.0000 3.3111 3.3111 3.3111 0.0000 3.3111 3.3111 3.3111 0.0000" Properties=species:S:1:pos:R:3 comment="Zn2ReBi, relaxed, DFT PBE-GGA" magnetic_moment_mub_per_fu=0.011 sg="F-43m, No. 216" pbc="T T T"
Zn 0.0000 0.0000 0.0000
Zn 1.6556 1.6556 1.6556
Re 4.9667 4.9667 4.9667
Bi 3.3111 3.3111 3.3111

***

9
Lattice="7.8018 0.0000 0.0000 -3.9009 6.7565 0.0000 0.0000 0.0000 3.7145" Properties=species:S:1:pos:R:3 comment="Tm3In3AgPdPt, relaxed, DFT PBE-GGA" magnetic_moment_mub_per_fu=0.007 sg="P-6, No. 174" pbc="T T T"
Tm -2.2647 4.9802 0.0000
Tm 0.7203 2.3052 0.0000
Tm 1.5444 6.2277 0.0000
In 2.8137 0.4418 1.8573
In 2.8767 4.0989 1.8573
In 6.0123 2.2158 1.8573
Ag 3.9009 2.2522 0.0000
Pd 0.0000 0.0000 1.8573
Pt 0.0000 4.5044 1.8573

***

4
Lattice="2.0703 1.1953 6.9708 -2.0703 1.1953 6.9708 0.0000 -2.3905 6.9708" Properties=species:S:1:pos:R:3 comment="Tm2TeAs, relaxed, DFT PBE-GGA" magnetic_moment_mub_per_fu=0.002 sg="R-3m, No. 166" pbc="T T T"
Tm 0.0000 0.0000 4.9913
Tm 0.0000 0.0000 15.9210
Te 0.0000 0.0000 0.0000
As 0.0000 0.0000 10.4561

***

8
Lattice="3.7389 0.0000 0.0000 0.0000 3.7389 0.0000 0.0000 0.0000 7.7142" Properties=species:S:1:pos:R:3 comment="HoMgNO, relaxed, DFT PBE-GGA" magnetic_moment_mub_per_fu=0.002 sg="P4/nmm, No. 129" de_polymorph_ev_per_atom=0.3037 pbc="T T T"
Ho 0.9347 0.9347 1.1380
Ho 2.8041 2.8041 6.5762
Mg 0.9347 2.8041 3.8571
Mg 2.8041 0.9347 3.8571
N 0.9347 0.9347 4.8441
N 2.8041 2.8041 2.8701
O 0.9347 2.8041 0.0000
O 2.8041 0.9347 0.0000

***

12
Lattice="6.3770 0.0000 0.0000 0.0000 3.7400 0.0000 0.0000 0.0000 7.2495" Properties=species:S:1:pos:R:3 comment="TaAlNi, relaxed, DFT PBE-GGA" magnetic_moment_mub_per_fu=0.000 sg="Pnma, No. 62" pbc="T T T"
Ta 0.1189 0.9350 1.2640
Ta 3.0696 2.8050 4.8888
Ta 3.3074 0.9350 2.3607
Ta 6.2581 2.8050 5.9855
Al 1.4061 2.8050 2.7545
Al 1.7824 0.9350 6.3792
Al 4.5946 2.8050 0.8703
Al 4.9709 0.9350 4.4951
Ni 0.9441 0.9350 4.0960
Ni 2.2443 2.8050 0.4712
Ni 4.1326 0.9350 6.7783
Ni 5.4328 2.8050 3.1536

***

10
Lattice="5.2054 -2.0903 0.0000 5.2054 2.0903 0.0000 -4.7150 0.0000 8.6807" Properties=species:S:1:pos:R:3 comment="ErLuSi2Ir, relaxed, DFT PBE-GGA" magnetic_moment_mub_per_fu=0.011 sg="C2/m, No. 12" pbc="T T T"
Er 1.4141 0.0000 0.9425
Er 4.2816 0.0000 7.7382
Lu -3.1476 0.0000 5.8726
Lu 8.8434 0.0000 2.8082
Si 1.7154 0.0000 3.7785
Si 4.4893 0.0000 1.0672
Si 1.2065 0.0000 7.6135
Si 3.9804 0.0000 4.9022
Ir -0.1249 0.0000 5.4555
Ir 5.8207 0.0000 3.2252

***

4
Lattice="0.0000 3.2631 3.2631 3.2631 0.0000 3.2631 3.2631 3.2631 0.0000" Properties=species:S:1:pos:R:3 comment="CuAgSnW, relaxed, DFT PBE-GGA" magnetic_moment_mub_per_fu=1.528 sg="F-43m, No. 216" de_polymorph_ev_per_atom=0.0000 pbc="T T T"
Cu 0.0000 0.0000 0.0000
Ag 1.6315 1.6315 1.6315
Sn 4.8946 4.8946 4.8946
W 3.2631 3.2631 3.2631

***

24
Lattice="6.7100 0.0000 0.0000 0.0000 13.8861 0.0000 0.0000 0.0000 4.8944" Properties=species:S:1:pos:R:3 comment="ZrMo, relaxed, DFT PBE-GGA" magnetic_moment_mub_per_fu=0.002 sg="Pbcm, No. 57" delta_e_f_ev_per_atom=0.05 de_polymorph_ev_per_atom=0.0380 pbc="T T T"
Zr 0.7268 2.2543 1.2236
Zr 0.7268 4.6887 3.6708
Zr 2.4154 9.1888 1.2236
Zr 2.4154 11.6403 3.6708
Zr 2.5250 2.0987 3.6708
Zr 2.5250 4.8444 1.2236
Zr 4.1850 9.0417 3.6708
Zr 4.1850 11.7874 1.2236
Zr 4.2946 2.2458 1.2236
Zr 4.2946 4.6973 3.6708
Zr 5.9832 9.1974 1.2236
Zr 5.9832 11.6318 3.6708
Mo 0.7829 0.0482 3.6708
Mo 0.7829 6.8948 1.2236
Mo 0.8617 9.0515 3.6708
Mo 0.8617 11.7777 1.2236
Mo 2.4586 6.9666 3.6708
Mo 2.4586 13.8626 1.2236
Mo 4.2514 0.0236 3.6708
Mo 4.2514 6.9195 1.2236
Mo 5.8483 2.1084 3.6708
Mo 5.8483 4.8347 1.2236
Mo 5.9272 6.9913 3.6708
Mo 5.9272 13.8379 1.2236

***

5
Lattice="4.5026 0.0000 0.0000 -2.2513 3.8994 0.0000 0.0000 0.0000 11.4093" Properties=species:S:1:pos:R:3 comment="SmSbPbI2, relaxed, DFT PBE-GGA" magnetic_moment_mub_per_fu=0.007 sg="P3m1, No. 156" pbc="T T T"
Sm 0.0000 0.0000 0.0000
Sb 2.2513 1.2998 1.6989
Pb 0.0000 2.5996 3.6344
I 0.0000 0.0000 5.6590
I 0.0000 2.5996 9.4672

***

12
Lattice="2.2109 -7.5028 0.0000 2.2109 7.5028 0.0000 0.0000 0.0000 11.3664" Properties=species:S:1:pos:R:3 comment="BaDyCuTe3, relaxed, DFT PBE-GGA" magnetic_moment_mub_per_fu=0.000 sg="Cmcm, No. 63" pbc="T T T"
Ba 2.2109 3.7445 8.5248
Ba 2.2109 -3.7445 2.8416
Dy 0.0000 0.0000 0.0000
Dy 0.0000 0.0000 5.6832
Cu 2.2109 0.4938 2.8416
Cu 2.2109 -0.4938 8.5248
Te 2.2109 6.4411 2.8416
Te 2.2109 2.0502 0.6796
Te 2.2109 2.0502 5.0036
Te 2.2109 -2.0502 6.3627
Te 2.2109 -2.0502 10.6868
Te 2.2109 -6.4411 8.5248

***

4
Lattice="0.0000 3.1942 3.1942 3.1942 0.0000 3.1942 3.1942 3.1942 0.0000" Properties=species:S:1:pos:R:3 comment="CuReSiTe, relaxed, DFT PBE-GGA" magnetic_moment_mub_per_fu=0.031 sg="F-43m, No. 216" de_polymorph_ev_per_atom=0.2899 pbc="T T T"
Cu 0.0000 0.0000 0.0000
Re 4.7914 4.7914 4.7914
Si 3.1942 3.1942 3.1942
Te 1.5971 1.5971 1.5971

***

5
Lattice="5.1956 0.0000 0.0000 0.0000 5.1956 0.0000 0.0000 0.0000 5.1956" Properties=species:S:1:pos:R:3 comment="RbNpS3, relaxed, DFT PBE-GGA" magnetic_moment_mub_per_fu=2.000 sg="Pm-3m, No. 221" pbc="T T T"
Rb 0.0000 0.0000 0.0000
Np 2.5978 2.5978 2.5978
S 0.0000 2.5978 2.5978
S 2.5978 0.0000 2.5978
S 2.5978 2.5978 0.0000

***

5
Lattice="-2.3001 2.3001 7.1636 2.3001 -2.3001 7.1636 2.3001 2.3001 -7.1636" Properties=species:S:1:pos:R:3 comment="Ba2TbTc2, relaxed, DFT PBE-GGA" magnetic_moment_mub_per_fu=0.080 sg="I4/mmm, No. 139" de_polymorph_ev_per_atom=0.0000 pbc="T T T"
Ba 2.3001 0.0000 3.5818
Ba 0.0000 2.3001 3.5818
Tb 0.0000 0.0000 0.0000
Tc 0.0000 0.0000 6.0985
Tc 0.0000 0.0000 8.2287

***

The records above yield E values of -18.0; -18.8; -342.7; -43.7; -161.6; -20.4; -12.5; -15.7; -42.5; -22.4; -53.3; -88.5; -67.4; -20.8; -231.6; -19.9; -54.3; -21.2; -32.4; -24.7 eV for the cell shown, respectively.